(1)
First-principles (PBE-GGA) data for a geometry-optimized ZnGaAgAu structure, as listed in the Alexandria database.

Results
Energy of formation from the pure elements ... -0.0520 eV per atom
Fermi-level density of states ... 1.13 states/eV/f.u.
Symmetry ... Amm2
Volume ... 17.6 Å³/atom
E_tot ... -2.659 eV per atom

Cell lengths 2.9138, 4.3917, 5.6803 Å; angles 90.00, 104.86, 90.00 degrees
Fractional positions:
1 Zn 0.3765 0.0000 0.7530
2 Ga 0.6979 0.5000 0.3958
3 Ag 0.1172 0.0000 0.2344
4 Au 0.9404 0.5000 0.8808

***

(2)
First-principles (PBE-GGA) data for a geometry-optimized AcCeTh2N4 structure, as listed in the Alexandria database.

Results
Formation energy without anion corrections ... -1.42 eV/atom
Fermi-level density of states ... 5.43 states/eV/f.u.
Symmetry ... P2/m
Volume ... 18.0 Å³/atom
E_tot ... -8.697 eV per atom

Cell lengths 3.6977, 6.4294, 6.4253 Å; angles 70.55, 90.00, 90.00 degrees
Fractional positions:
1 Ac 0.0000 0.5000 0.5000
2 Ce 0.5000 0.5000 0.0000
3 Th 0.0000 0.0000 0.0000
4 Th 0.5000 0.0000 0.5000
5 N 0.0000 0.7640 0.7564
6 N 0.0000 0.2360 0.2436
7 N 0.5000 0.7768 0.2316
8 N 0.5000 0.2232 0.7684

***

(3)
First-principles (PBE-GGA) data for a geometry-optimized Ac2LaMnS6 structure, as listed in the Alexandria database.

Results
Formation energy without anion corrections ... -1.72 eV/atom
Fermi-level density of states ... 1.22 states/eV/f.u.
Symmetry ... P2_1/c
Volume ... 25.4 Å³/atom
E_tot ... -6.427 eV per atom

Cell lengths 6.8245, 7.5788, 9.8296 Å; angles 90.00, 91.20, 90.00 degrees
Fractional positions:
1 Ac 0.0338 0.9061 0.2484
2 Ac 0.5338 0.5939 0.7484
3 Ac 0.9662 0.0939 0.7516
4 Ac 0.4662 0.4061 0.2516
5 La 0.5000 0.0000 0.0000
6 La 0.0000 0.5000 0.5000
7 Mn 0.5000 0.0000 0.5000
8 Mn 0.0000 0.5000 0.0000
9 S 0.2933 0.6709 0.0512
10 S 0.7933 0.8291 0.5512
11 S 0.7067 0.3291 0.9488
12 S 0.2067 0.1709 0.4488
13 S 0.3298 0.6945 0.4360
14 S 0.8298 0.8055 0.9360
15 S 0.6702 0.3055 0.5640
16 S 0.1702 0.1945 0.0640
17 S 0.8843 0.5326 0.2248
18 S 0.3843 0.9674 0.7248
19 S 0.1157 0.4674 0.7752
20 S 0.6157 0.0326 0.2752

***

(4)
First-principles (PBE-GGA) data for a geometry-optimized SrPa2P3 structure, as listed in the Alexandria database.

Results
Energy of formation from the pure elements ... -1.2531 eV per atom
Fermi-level density of states ... 4.98 states/eV/f.u.
Symmetry ... P6_3/mmc
Volume ... 24.2 Å³/atom
E_tot ... -7.404 eV per atom

Cell lengths 4.0347, 4.0347, 20.5950 Å; angles 90.00, 90.00, 120.00 degrees
Fractional positions:
1 Sr 0.0000 0.0000 0.2500
2 Sr 0.0000 0.0000 0.7500
3 Pa 0.3333 0.6667 0.9234
4 Pa 0.6667 0.3333 0.0766
5 Pa 0.6667 0.3333 0.4234
6 Pa 0.3333 0.6667 0.5766
7 P 0.0000 0.0000 0.0000
8 P 0.3333 0.6667 0.1526
9 P 0.3333 0.6667 0.3474
10 P 0.0000 0.0000 0.5000
11 P 0.6667 0.3333 0.6526
12 P 0.6667 0.3333 0.8474

***

(5)
First-principles (PBE-GGA) data for a geometry-optimized La5SnIr2 structure, as listed in the Alexandria database.

Results
Energy of formation from the pure elements ... -0.7072 eV per atom
Fermi-level density of states ... 8.22 states/eV/f.u.
Symmetry ... I4/mcm
Volume ... 29.2 Å³/atom
E_tot ... -6.502 eV per atom

Cell lengths 8.1410, 8.1410, 9.1100 Å; angles 116.54, 116.54, 90.00 degrees
Fractional positions:
1 La 0.5278 0.7057 0.7335
2 La 0.7943 0.9722 0.2665
3 La 0.0000 0.0000 0.0000
4 La 0.5000 0.5000 0.0000
5 La 0.2057 0.0278 0.7335
6 La 0.7057 0.2057 0.7335
7 La 0.0278 0.5278 0.7335
8 La 0.2943 0.7943 0.2665
9 La 0.9722 0.4722 0.2665
10 La 0.4722 0.2943 0.2665
11 Sn 0.7500 0.7500 0.5000
12 Sn 0.2500 0.2500 0.5000
13 Ir 0.1400 0.3600 0.0000
14 Ir 0.6400 0.1400 0.0000
15 Ir 0.3600 0.8600 0.0000
16 Ir 0.8600 0.6400 0.0000

***

(6)
First-principles (PBE-GGA) data for a geometry-optimized TlAgIrBr6 structure, as listed in the Alexandria database.

Results
Formation energy without anion corrections ... -0.37 eV/atom
Fermi-level density of states ... 12.29 states/eV/f.u.
Symmetry ... P312
Volume ... 33.2 Å³/atom
E_tot ... -3.045 eV per atom

Cell lengths 7.0498, 7.0499, 6.9435 Å; angles 90.00, 90.00, 60.00 degrees
Fractional positions:
1 Tl 0.0000 0.0000 0.0000
2 Ag 0.6666 0.6667 0.5000
3 Ir 0.3333 0.3333 0.5000
4 Br 0.0356 0.3485 0.2928
5 Br 0.3485 0.0356 0.7072
6 Br 0.6158 0.3485 0.7072
7 Br 0.0356 0.6159 0.7072
8 Br 0.3485 0.6159 0.2928
9 Br 0.6158 0.0356 0.2928

***

(7)
First-principles (PBE-GGA) data for a geometry-optimized Ca2FeBW structure, as listed in the Alexandria database.

Results
Energy of formation from the pure elements ... 1.8003 eV per atom
Fermi-level density of states ... 5.68 states/eV/f.u.
Symmetry ... P4/mmm
Volume ... 27.4 Å³/atom
E_tot ... -4.619 eV per atom

Cell lengths 5.6256, 4.3346, 5.6256 Å; angles 90.00, 90.00, 90.00 degrees
Fractional positions:
1 Ca 0.0000 0.0000 0.5000
2 Ca 0.5000 0.0000 0.0000
3 B 0.5000 0.5000 0.5000
4 Fe 0.0000 0.5000 0.0000
5 W 0.0000 0.0000 0.0000

***

(8)
First-principles (PBE-GGA) data for a geometry-optimized Al2IrPb structure, as listed in the Alexandria database.

Results
Energy of formation from the pure elements ... 0.2268 eV per atom
Fermi-level density of states ... 1.91 states/eV/f.u.
Symmetry ... P4/mmm
Volume ... 18.1 Å³/atom
E_tot ... -4.787 eV per atom

Cell lengths 4.6163, 4.6163, 3.4021 Å; angles 90.00, 90.00, 90.00 degrees
Fractional positions:
1 Pb 0.0000 0.5000 0.5000
2 Ir 0.5000 0.0000 0.5000
3 Al 0.0000 0.0000 0.0000
4 Al 0.5000 0.5000 0.0000